Cs2TbGe2Se6 | GGA-PBE | optimized geometry

a = 7.6342 Å, b = 7.6342 Å, c = 9.1624 Å
α = 113.51°, β = 113.51°, γ = 59.98°
With the nearest neighbours (Å) after each atom.
Element x y z (fractional)
Cs: 0.2181 0.2181 0.1619  9 Se 3.89-4.08, 1 Ge 4.22
Cs: 0.7819 0.7819 0.8381  9 Se 3.89-4.08, 1 Ge 4.22
Tb: 0.0000 0.0000 0.5000  6 Se 2.88
Ge: 0.3977 0.3977 0.6799  3 Se 2.35
Ge: 0.6023 0.6023 0.3201  3 Se 2.35
Se: 0.2347 0.7537 0.2545  1 Ge 2.35
Se: 0.2389 0.2389 0.7308  1 Ge 2.35
Se: 0.2463 0.7653 0.7455  1 Ge 2.35
Se: 0.7537 0.2347 0.2545  1 Ge 2.35
Se: 0.7611 0.7611 0.2692  1 Ge 2.35
Se: 0.7653 0.2463 0.7455  1 Ge 2.35

Properties
The total energy comes out at -4.147 eV per atom. As for the space group: C2/m, No. 12. As for the energy relative to the elements, uncorrected: -830 meV/atom. The magnetic moment comes out at 0.00 μB per atom.

La4Tb2Er | GGA-PBE | optimized geometry

a = 12.7579 Å, b = 12.7579 Å, c = 6.8874 Å
α = 96.99°, β = 96.99°, γ = 150.28°
With the nearest neighbours (Å) after each atom.
Element x y z (fractional)
La: 0.0192 0.9808 0.5000  5 La 3.43-3.70, 2 Tb 3.61-3.68, 2 Er 3.67-3.69
La: 0.3901 0.7820 0.7368  4 La 3.43-3.70, 4 Tb 3.47-3.72, 2 Er 3.75-3.76
La: 0.4089 0.8711 0.2809  5 La 3.43-3.70, 2 Tb 3.61-3.68, 2 Er 3.65-3.70
La: 0.4356 0.5432 0.5461  4 La 3.43-3.70, 4 Tb 3.48-3.72, 2 Er 3.75-3.77
La: 0.5432 0.4356 0.0461  4 La 3.43-3.70, 4 Tb 3.48-3.72, 2 Er 3.75-3.77
La: 0.7820 0.3901 0.2368  4 La 3.43-3.70, 4 Tb 3.47-3.72, 2 Er 3.75-3.76
La: 0.8711 0.4089 0.7809  5 La 3.43-3.70, 2 Tb 3.61-3.68, 2 Er 3.65-3.70
La: 0.9808 0.0192 0.0000  5 La 3.43-3.70, 2 Tb 3.61-3.68, 2 Er 3.67-3.69
Tb: 0.2678 0.9514 0.6834  7 La 3.47-3.88, 2 Er 3.49-3.63, 2 Tb 3.69
Tb: 0.4762 0.6598 0.0999  7 La 3.48-3.88, 2 Er 3.50-3.63, 2 Tb 3.69
Tb: 0.6598 0.4762 0.5999  7 La 3.48-3.88, 2 Er 3.50-3.63, 2 Tb 3.69
Tb: 0.9514 0.2678 0.1834  7 La 3.47-3.88, 2 Er 3.49-3.63, 2 Tb 3.69
Er: 0.1646 0.9144 0.1414  4 Tb 3.49-3.63, 8 La 3.65-3.77
Er: 0.9144 0.1646 0.6414  4 Tb 3.49-3.63, 8 La 3.65-3.77

Properties
The total energy comes out at -4.720 eV per atom. As for the formation energy: 0.070 eV/atom. As for the space group: Cc, No. 9. The value obtained for the distance to the lowest polymorph of the same formula is 0.0 meV/atom. The magnetic moment comes out at 0.00 μB per atom.

AcTm2Pb2 | GGA-PBE | optimized geometry

a = 8.0883 Å, b = 8.0883 Å, c = 6.6733 Å
α = 111.15°, β = 111.15°, γ = 98.22°
With the nearest neighbours (Å) after each atom.
Element x y z (fractional)
Ac: 0.1142 0.8858 0.7500  4 Pb 3.35-3.53
Ac: 0.8858 0.1142 0.2500  4 Pb 3.35-3.53
Tm: 0.2236 0.4313 0.0025  4 Pb 3.03-3.17, 1 Tm 3.31
Tm: 0.4313 0.2236 0.5025  4 Pb 3.03-3.17, 1 Tm 3.31
Tm: 0.5687 0.7764 0.4975  4 Pb 3.03-3.17, 1 Tm 3.31
Tm: 0.7764 0.5687 0.9975  4 Pb 3.03-3.17, 1 Tm 3.31
Pb: 0.1748 0.8252 0.2500  4 Tm 3.03-3.17
Pb: 0.3883 0.6117 0.7500  4 Tm 3.10-3.11, 1 Ac 3.35
Pb: 0.6117 0.3883 0.2500  4 Tm 3.10-3.11, 1 Ac 3.35
Pb: 0.8252 0.1748 0.7500  4 Tm 3.03-3.17

Properties
The total energy comes out at -4.287 eV per atom. As for the formation energy: -0.194 eV/atom. As for the space group: C2/c, No. 15. The magnetic moment comes out at 0.05 μB per atom.

PuNp2MnN4 | GGA-PBE | optimized geometry

a = 5.8971 Å, b = 5.8971 Å, c = 11.3012 Å
α = 90.00°, β = 90.00°, γ = 146.98°
With the nearest neighbours (Å) after each atom.
Element x y z (fractional)
Pu: 0.1052 0.8948 0.7500  6 N 2.46-2.64
Pu: 0.8948 0.1052 0.2500  6 N 2.46-2.64
Np: 0.3695 0.6305 0.5557  6 N 2.25-2.42
Np: 0.3695 0.6305 0.9443  6 N 2.25-2.42
Np: 0.6305 0.3695 0.0557  6 N 2.25-2.42
Np: 0.6305 0.3695 0.4443  6 N 2.25-2.42
Mn: 0.1576 0.8424 0.2500  4 N 1.98-2.05
Mn: 0.8424 0.1576 0.7500  4 N 1.98-2.05
N: 0.0000 0.0000 0.0000  4 Np 2.32
N: 0.0000 0.0000 0.5000  4 Np 2.32
N: 0.2721 0.7279 0.1177  1 Mn 1.98
N: 0.2721 0.7279 0.3823  1 Mn 1.98
N: 0.4462 0.5538 0.7500  2 Mn 2.05
N: 0.5538 0.4462 0.2500  2 Mn 2.05
N: 0.7279 0.2721 0.6177  1 Mn 1.98
N: 0.7279 0.2721 0.8823  1 Mn 1.98

Properties
The total energy comes out at -11.319 eV per atom. As for the space group: Cmcm, No. 63. As for the energy relative to the elements, uncorrected: -983 meV/atom. The magnetic moment comes out at 0.97 μB per atom.

LaPS4I | GGA-PBE | optimized geometry

a = 8.4169 Å, b = 8.4169 Å, c = 7.4755 Å
α = 105.51°, β = 105.51°, γ = 64.89°
With the nearest neighbours (Å) after each atom.
Element x y z (fractional)
La: 0.1861 0.1861 0.0850  5 S 2.95-3.03, 2 I 3.15-3.19
La: 0.8139 0.8139 0.9150  5 S 2.95-3.03, 2 I 3.15-3.19
P: 0.3377 0.3377 0.7394  4 S 1.99-2.09
P: 0.6623 0.6623 0.2606  4 S 1.99-2.09
S: 0.1010 0.4463 0.8419  1 P 2.07
S: 0.3335 0.3335 0.4708  1 P 1.99
S: 0.4463 0.1010 0.8419  1 P 2.07
S: 0.4925 0.4925 0.8547  1 P 2.09, 1 S 2.12
S: 0.5075 0.5075 0.1453  1 P 2.09, 1 S 2.12
S: 0.5537 0.8990 0.1581  1 P 2.07
S: 0.6665 0.6665 0.5292  1 P 1.99
S: 0.8990 0.5537 0.1581  1 P 2.07
I: 0.0133 0.0133 0.2655  2 La 3.15-3.19
I: 0.9867 0.9867 0.7345  2 La 3.15-3.19

Properties
The total energy comes out at -4.916 eV per atom. As for the space group: C2/m, No. 12. As for the energy relative to the elements, uncorrected: -859 meV/atom. The magnetic moment comes out at 0.00 μB per atom.

ZnCrAs2 | GGA-PBE | optimized geometry

a = 6.9514 Å, b = 6.9514 Å, c = 6.9514 Å
α = 132.31°, β = 132.31°, γ = 69.73°
With the nearest neighbours (Å) after each atom.
Element x y z (fractional)
Zn: 0.0000 0.0000 0.0000  4 As 2.51
Zn: 0.7500 0.2500 0.5000  4 As 2.51
Cr: 0.2500 0.7500 0.5000  4 As 2.38
Cr: 0.5000 0.5000 0.0000  4 As 2.38
As: 0.1446 0.6250 0.0196  2 Cr 2.38, 2 Zn 2.51
As: 0.3750 0.3946 0.5196  2 Cr 2.38, 2 Zn 2.51
As: 0.6054 0.1250 0.9804  2 Cr 2.38, 2 Zn 2.51
As: 0.8750 0.8554 0.4804  2 Cr 2.38, 2 Zn 2.51

Properties
The total energy comes out at -4.944 eV per atom. As for the formation energy: 0.105 eV/atom. As for the space group: I-42d, No. 122. The magnetic moment comes out at 0.50 μB per atom.

Fe2NiPd | GGA-PBE | optimized geometry

a = 2.6223 Å, b = 2.6223 Å, c = 7.3424 Å
α = 90.00°, β = 90.00°, γ = 90.00°
With the nearest neighbours (Å) after each atom.
Element x y z (fractional)
Fe: 0.0000 0.0000 0.2335  4 Ni 2.53, 4 Fe 2.62, 4 Pd 2.70
Fe: 0.0000 0.0000 0.7665  4 Ni 2.53, 4 Fe 2.62, 4 Pd 2.70
Ni: 0.5000 0.5000 0.0000  8 Fe 2.53, 4 Ni 2.62
Pd: 0.5000 0.5000 0.5000  4 Pd 2.62, 8 Fe 2.70

Properties
The total energy comes out at -7.009 eV per atom. As for the formation energy: -0.034 eV/atom. As for the space group: P4/mmm, No. 123. The value obtained for the distance to the lowest polymorph of the same formula is 3.6 meV/atom. The magnetic moment comes out at 1.64 μB per atom.

ZrCdRu3 | GGA-PBE | optimized geometry

a = 4.8198 Å, b = 4.8198 Å, c = 4.8198 Å
α = 90.00°, β = 90.00°, γ = 90.00°
With the nearest neighbours (Å) after each atom.
Element x y z (fractional)
Zr: 0.0000 0.0000 0.0000  6 Ru 2.41
Cd: 0.5000 0.5000 0.5000  12 Ru 3.41
Ru: 0.0000 0.0000 0.5000  2 Zr 2.41
Ru: 0.0000 0.5000 0.0000  2 Zr 2.41
Ru: 0.5000 0.0000 0.0000  2 Zr 2.41

Properties
The total energy comes out at -6.031 eV per atom. As for the formation energy: 1.427 eV/atom. As for the space group: Pm-3m, No. 221. The value obtained for the distance to the lowest polymorph of the same formula is 0.0 meV/atom. The magnetic moment comes out at 0.67 μB per atom.

SbOs2W | GGA-PBE | optimized geometry

a = 4.7222 Å, b = 4.7222 Å, c = 2.9642 Å
α = 90.00°, β = 90.00°, γ = 90.00°
With the nearest neighbours (Å) after each atom.
Element x y z (fractional)
Sb: 0.0000 0.0000 0.0000  8 Os 2.79, 2 Sb 2.96
Os: 0.0000 0.5000 0.5000  4 W 2.79, 4 Sb 2.79, 2 Os 2.96
Os: 0.5000 0.0000 0.5000  4 W 2.79, 4 Sb 2.79, 2 Os 2.96
W: 0.5000 0.5000 0.0000  8 Os 2.79, 2 W 2.96

Properties
The total energy comes out at -9.200 eV per atom. As for the space group: P4/mmm, No. 123. As for the energy relative to the elements, uncorrected: 683 meV/atom. The magnetic moment comes out at 0.16 μB per atom.

Np2Ni5As4 | GGA-PBE | optimized geometry

a = 8.3890 Å, b = 7.3617 Å, c = 5.5477 Å
α = 79.71°, β = 59.70°, γ = 40.59°
With the nearest neighbours (Å) after each atom.
Element x y z (fractional)
Np: 0.1416 0.1416 0.8584  8 As 3.08-3.45, 10 Ni 3.15-3.38
Np: 0.8584 0.8584 0.1416  8 As 3.08-3.45, 10 Ni 3.15-3.38
Ni: 0.0000 0.0000 0.5000  4 As 2.43, 2 Ni 2.70
Ni: 0.2500 0.2500 0.2500  4 As 2.32
Ni: 0.5000 0.5000 0.0000  4 As 2.43, 2 Ni 2.70
Ni: 0.5000 0.5000 0.5000  4 As 2.32
Ni: 0.7500 0.7500 0.7500  4 As 2.32
As: 0.2173 0.5215 0.4785  5 Ni 2.32-2.43
As: 0.4785 0.7827 0.2173  5 Ni 2.32-2.43
As: 0.5215 0.2173 0.7827  5 Ni 2.32-2.43
As: 0.7827 0.4785 0.5215  5 Ni 2.32-2.43

Properties
The total energy comes out at -6.948 eV per atom. As for the formation energy: -0.276 eV/atom. As for the space group: Fmmm, No. 69. The magnetic moment comes out at 0.80 μB per atom.

KY2Si | GGA-PBE | optimized geometry

a = 9.7326 Å, b = 9.7326 Å, c = 9.7326 Å
α = 137.50°, β = 137.50°, γ = 61.67°
With the nearest neighbours (Å) after each atom.
Element x y z (fractional)
K: 0.3750 0.6250 0.7500  8 Y 4.46, 4 Si 4.99
K: 0.6250 0.3750 0.2500  8 Y 4.46, 4 Si 4.99
Y: 0.0000 0.0000 0.0000  2 Si 2.73
Y: 0.0000 0.0000 0.5000  2 Si 2.73
Y: 0.0000 0.5000 0.0000  2 Si 2.73
Y: 0.5000 0.0000 0.5000  2 Si 2.73
Si: 0.1250 0.8750 0.2500  4 Y 2.73
Si: 0.8750 0.1250 0.7500  4 Y 2.73

Properties
The total energy comes out at -4.346 eV per atom. As for the space group: I4_1/amd, No. 141. As for the energy relative to the elements, uncorrected: 516 meV/atom. The magnetic moment comes out at 0.00 μB per atom.

SbP2Os | GGA-PBE | optimized geometry

a = 3.0907 Å, b = 4.5452 Å, c = 4.7253 Å
α = 90.00°, β = 90.00°, γ = 90.00°
With the nearest neighbours (Å) after each atom.
Element x y z (fractional)
Sb: 0.0000 0.0000 0.0000  4 P 2.75, 4 Os 2.82
P: 0.0000 0.5000 0.5000  4 Os 2.75, 4 P 2.82
P: 0.5000 0.5000 0.0000  4 Sb 2.75, 4 P 2.82
Os: 0.5000 0.0000 0.5000  4 P 2.75, 4 Sb 2.82

Properties
The total energy comes out at -5.692 eV per atom. As for the space group: Pmmm, No. 47. As for the energy relative to the elements, uncorrected: 851 meV/atom. The magnetic moment comes out at 0.00 μB per atom.